VASP calculation (GGA-PBEsol) on an optimized crystal structure of ZrCdAg.

Computed properties:
Total energy, eV/atom: -4.635
Size of the total moment, μB/cell: 0.0
Energy of formation from the pure elements, meV per atom: -102.7

Cell and atoms, written as CIF:
```
data_ZrCdAg
_chemical_formula_sum 'Zr2 Cd2 Ag2'
_cell_length_a 3.026
_cell_length_b 3.026
_cell_length_c 12.539
_cell_angle_alpha 90.00
_cell_angle_beta 90.00
_cell_angle_gamma 90.00
_space_group_name_H-M_alt 'I 4 m m'
_space_group_IT_number 107
_space_group_name_Hall 'I 4 -2'
loop_
_atom_site_label
_atom_site_type_symbol
_atom_site_fract_x
_atom_site_fract_y
_atom_site_fract_z
Zr1 Zr 0.000 0.000 0.000
Cd1 Cd 0.000 0.000 0.322
Ag1 Ag 0.000 0.000 0.665
```